Computed, not measured: a relaxed structure of LiAsPt2 at the PBE level of DFT.

It has space group P4/mmm (No. 123), with a = 3.9929 Å, b = 3.9929 Å, c = 3.7013 Å, α = 90.00°, β = 90.00° and γ = 90.00°. The asymmetric unit holds Li at (0.0000, 0.0000, 0.0000), As at (0.5000, 0.5000, 0.0000) and Pt at (0.0000, 0.5000, 0.5000).

As for the energy of formation from the pure elements: -0.4617 eV per atom.


Computed, not measured: a relaxed structure of Dy4GaIr3 at the PBE level of DFT.

It has space group Pmm2 (No. 25), with a = 3.8484 Å, b = 4.3291 Å, c = 10.5895 Å, α = 90.00°, β = 90.00° and γ = 90.00°. The asymmetric unit holds Dy at (0.0000, 0.0000, 0.0000), Dy at (0.0000, 0.5000, 0.2733), Dy at (0.5000, 0.0000, 0.4797), Dy at (0.5000, 0.5000, 0.7781), Ga at (0.0000, 0.0000, 0.7008), Ir at (0.0000, 0.5000, 0.5652), Ir at (0.5000, 0.0000, 0.2141) and Ir at (0.5000, 0.5000, 0.0468).

As for the energy of formation from the pure elements: -0.7786 eV per atom.


Computed, not measured: a relaxed structure of SmMnB4 at the PBE level of DFT.

It has space group Pbam (No. 55), with a = 5.9785 Å, b = 11.5645 Å, c = 3.4690 Å, α = 90.00°, β = 90.00° and γ = 90.00°. The asymmetric unit holds Sm at (0.1246, 0.1506, 0.0000), Mn at (0.1260, 0.4169, 0.0000), B at (0.0251, 0.6891, 0.5000), B at (0.1111, 0.5455, 0.5000), B at (0.1407, 0.9674, 0.5000) and B at (0.2227, 0.8175, 0.5000).

As for the energy of formation from the pure elements: -0.5649 eV per atom.


Computed, not measured: a relaxed structure of Ba3LaSm2Se6 at the PBE level of DFT.

It has space group C2/m (No. 12), with a = 7.6096 Å, b = 13.1689 Å, c = 7.8519 Å, α = 90.00°, β = 108.86° and γ = 90.00°. The asymmetric unit holds Ba at (0.0000, 0.0000, 0.0000), Ba at (0.0000, 0.3348, 0.0000), La at (0.0000, 0.5000, 0.5000), Sm at (0.0000, 0.1667, 0.5000), Se at (0.2344, 0.0000, 0.7198) and Se at (0.2432, 0.3305, 0.7213).

The formation energy from raw total energies is -23.20 eV/f.u.


Computed, not measured: a relaxed structure of CaTcRh at the PBE level of DFT.

It has space group P3m1 (No. 156), with a = 2.9791 Å, b = 2.9791 Å, c = 6.9890 Å, α = 90.00°, β = 90.00° and γ = 120.00°. The asymmetric unit holds Ca at (0.0000, 0.0000, 0.0000), Tc at (0.3333, 0.6667, 0.6345) and Rh at (0.6667, 0.3333, 0.3532).

The offset from the most stable computed form comes out at 588 meV/atom. As for the energy of formation from the pure elements: 0.4858 eV per atom.


Computed, not measured: a relaxed structure of LiTa2Al at the PBE level of DFT.

It has space group I-42d (No. 122), with a = 7.2033 Å, b = 7.2033 Å, c = 5.2510 Å, α = 90.00°, β = 90.00° and γ = 90.00°. The asymmetric unit holds Li at (0.0000, 0.0000, 0.0000), Ta at (0.2408, 0.2500, 0.1250) and Al at (0.0000, 0.0000, 0.5000).

The offset from the most stable computed form comes out at 573 meV/atom. As for the energy of formation from the pure elements: 0.6050 eV per atom.


Computed, not measured: a relaxed structure of Er8Al2Tl at the PBE level of DFT.

It has space group Immm (No. 71), with a = 4.9551 Å, b = 8.3277 Å, c = 14.5391 Å, α = 90.00°, β = 90.00° and γ = 90.00°. The asymmetric unit holds Er at (0.0000, 0.0000, 0.1460), Er at (0.0000, 0.2130, 0.3390), Er at (0.0000, 0.3111, 0.0000), Al at (0.0000, 0.5000, 0.1938) and Tl at (0.0000, 0.5000, 0.5000).

The offset from the most stable computed form comes out at 56 meV/atom. As for the energy of formation from the pure elements: -0.1461 eV per atom.


Computed, not measured: a relaxed structure of LaCo2Ru at the PBE level of DFT.

It has space group I-42d (No. 122), with a = 4.5913 Å, b = 4.5913 Å, c = 15.6360 Å, α = 90.00°, β = 90.00° and γ = 90.00°. The asymmetric unit holds La at (0.0000, 0.0000, 0.0000), Co at (0.0574, 0.2500, 0.6250) and Ru at (0.0000, 0.0000, 0.5000).

As for the energy of formation from the pure elements: 0.3728 eV per atom.


Ordered density of states at the Fermi level results: 1.98 3.59 5.26 10.09 4.35 9.13 24.99 22.49; unit states/eV/cell.
Ordered magnetic moment results: 0.00 0.00 3.94 0.00 0.00 0.00 0.00 0.01; unit μB per cell.
Ordered total energy results: -0.1883 -0.2492 -0.2694 -0.1967 -0.2237 -0.2475 -0.1602 -0.2474; unit Ha/atom.